First-principles (PBE-GGA) data for a geometry-optimized SmTaS4 structure, as listed in Alexandria via LeMat-Bulk.

The structure in extended XYZ format:
```
12
Lattice="-5.491 0.298 3.239 -1.283 -6.551 -1.571 3.608 0.572 6.064" Properties=species:S:1:pos:R:3 pbc="T T T"
S -2.444 -5.339 0.365
S -3.641 -0.164 4.678
S -0.722 -0.342 7.367
S 0.475 -5.517 3.054
S -2.125 -3.576 7.031
S -0.110 -2.175 4.563
S -3.056 -3.506 3.169
S -1.041 -2.105 0.701
Sm 1.163 -2.989 2.247
Sm -0.942 0.435 4.652
Ta 0.000 0.000 0.000
Ta -3.387 -3.126 0.834
```

Calculated values
**Formation energy (no corrections)**: -1.254 eV/atom
**VASP energy**: -40.60 eV per formula unit
**Crystal system**: monoclinic
**SG**: P2_1/c, No. 14

---

First-principles (PBE-GGA) data for a geometry-optimized SmTa2S6 structure, as listed in Alexandria via LeMat-Bulk.

The structure in extended XYZ format:
```
9
Lattice="-2.485 4.140 -0.476 -6.128 -0.665 1.477 -1.244 2.954 7.446" Properties=species:S:1:pos:R:3 pbc="T T T"
S -7.206 5.062 7.452
S -3.997 3.634 3.014
S -2.651 1.366 0.995
S -5.859 2.795 5.433
S -1.960 2.386 6.251
S -7.897 4.042 2.196
Ta -3.961 3.382 0.641
Ta -5.896 3.046 7.806
Sm -3.686 1.144 4.462
```

Calculated values
**Formation energy (no corrections)**: -1.123 eV/atom
**VASP energy**: -63.30 eV per formula unit
**Crystal system**: monoclinic
**Density of states at the Fermi level**: 0.10 states/eV per atom
**SG**: C2/m, No. 12

---

First-principles (PBE-GGA) data for a geometry-optimized SmTaS2 structure, as listed in Alexandria via LeMat-Bulk.

The structure in extended XYZ format:
```
4
Lattice="3.432 0.000 0.000 1.716 2.972 0.000 1.716 0.991 8.729" Properties=species:S:1:pos:R:3 pbc="T T T"
Ta 3.432 1.981 4.365
S 5.148 2.972 2.820
S 1.716 0.991 5.910
Sm 0.000 0.000 0.000
```

Calculated values
**Formation energy (no corrections)**: -0.803 eV/atom
**VASP energy**: -28.04 eV per formula unit
**Crystal system**: trigonal
**Density of states at the Fermi level**: 0.96 states/eV per atom
**SG**: R-3m, No. 166

---

First-principles (PBE-GGA) data for a geometry-optimized SmTa6S8 structure, as listed in Alexandria via LeMat-Bulk.

The structure in extended XYZ format:
```
15
Lattice="6.608 0.234 0.242 0.028 6.612 0.242 0.028 0.029 6.617" Properties=species:S:1:pos:R:3 pbc="T T T"
Ta 3.941 3.092 5.527
Ta 5.299 4.108 3.268
Ta 3.696 1.481 2.889
Ta 2.723 3.783 1.574
Ta 2.968 5.394 4.211
Ta 1.365 2.767 3.832
S 1.549 1.598 1.650
S 0.899 5.048 2.803
S 2.610 0.981 5.135
S 1.647 4.108 5.954
S 5.115 5.278 5.450
S 5.765 1.827 4.297
S 5.017 2.768 1.146
S 4.054 5.894 1.965
Sm 0.000 0.000 0.000
```

Calculated values
**Formation energy (no corrections)**: -0.951 eV/atom
**VASP energy**: -123.12 eV per formula unit
**Crystal system**: trigonal
**Density of states at the Fermi level**: 0.54 states/eV per atom
**SG**: R-3, No. 148

---

First-principles (PBE-GGA) data for a geometry-optimized Sm3TaTl3S8 structure, as listed in Alexandria via LeMat-Bulk.

The structure in extended XYZ format:
```
15
Lattice="-2.110 -3.091 6.983 1.678 -4.770 -6.099 6.943 4.050 3.890" Properties=species:S:1:pos:R:3 pbc="T T T"
S 5.059 0.107 1.576
S 4.144 -1.659 5.012
S 2.367 -2.151 -0.237
S 5.985 -2.525 -1.790
S 1.690 0.420 2.711
S 4.821 -4.230 2.064
S 1.452 -3.917 3.199
S 0.526 -1.286 6.564
Sm 3.255 -1.905 2.387
Sm 4.310 -0.360 -1.104
Sm 2.417 0.480 5.437
Tl -0.216 -3.930 0.442
Tl 0.839 -2.385 -3.049
Tl 0.000 0.000 0.000
Ta 3.471 2.025 1.945
```

Calculated values
**Formation energy (no corrections)**: -1.323 eV/atom
**VASP energy**: -85.97 eV per formula unit
**Crystal system**: trigonal
**Density of states at the Fermi level**: 0.28 states/eV per atom
**SG**: R-3m, No. 166

---

First-principles (PBE-GGA) data for a geometry-optimized TbSm4S4 structure, as listed in Alexandria via LeMat-Bulk.

The structure in extended XYZ format:
```
9
Lattice="-3.332 -3.636 2.755 3.381 -4.648 3.748 -1.811 2.044 6.298" Properties=species:S:1:pos:R:3 pbc="T T T"
Sm -1.409 -1.692 7.647
Sm -0.712 -0.825 3.842
Sm -0.354 -4.548 5.154
Sm -1.050 -5.415 8.959
S 0.618 -3.567 7.625
S -3.116 -3.484 9.009
S 1.353 -2.756 3.792
S -2.381 -2.673 5.176
Tb 0.000 0.000 0.000
```

Calculated values
**Formation energy (no corrections)**: -1.778 eV/atom
**VASP energy**: -56.02 eV per formula unit
**Crystal system**: tetragonal
**Density of states at the Fermi level**: 0.63 states/eV per atom
**SG**: I4/m, No. 87

---

First-principles (PBE-GGA) data for a geometry-optimized TbSm3S6 structure, as listed in Alexandria via LeMat-Bulk.

The structure in extended XYZ format:
```
20
Lattice="-2.510 -2.492 -1.932 8.042 -2.336 -7.437 0.803 -7.524 8.660" Properties=species:S:1:pos:R:3 pbc="T T T"
S 1.069 -2.933 0.291
S 3.886 -4.758 -1.015
S 6.978 -6.758 -2.453
S 1.402 -3.309 -3.860
S -0.643 -5.593 1.744
S 5.574 -4.767 -7.400
S 1.956 -6.625 3.901
S 5.265 -9.418 -1.000
S 4.378 -5.726 -4.610
S 4.932 -9.042 3.151
S 2.448 -7.593 0.306
S 0.760 -7.584 6.691
Tb -0.989 -7.136 4.183
Tb 7.323 -5.216 -4.892
Sm 6.856 -9.484 1.222
Sm -0.521 -2.867 -1.931
Sm 4.107 -3.233 -3.269
Sm 2.320 -5.088 1.445
Sm 2.227 -9.118 2.560
Sm 4.014 -7.263 -2.154
```

Calculated values
**Formation energy (no corrections)**: -2.040 eV/atom
**VASP energy**: -63.96 eV per formula unit
**Crystal system**: monoclinic
**SG**: P2_1/m, No. 11

---

First-principles (PBE-GGA) data for a geometry-optimized TbSm2S4 structure, as listed in Alexandria via LeMat-Bulk.

The structure in extended XYZ format:
```
14
Lattice="6.902 0.000 3.978 2.376 6.514 3.853 0.025 0.006 7.933" Properties=species:S:1:pos:R:3 pbc="T T T"
Sm 1.201 3.260 5.893
Sm 3.463 0.003 5.955
Sm 0.012 0.003 3.966
Sm 0.000 0.000 0.000
S 2.349 1.639 3.901
S 7.021 4.872 7.866
S 6.954 4.881 11.863
S 3.529 4.843 9.829
S 5.773 1.676 5.935
S 3.477 4.872 5.823
S 2.281 1.647 7.898
S 5.826 1.647 9.940
Tb 1.188 3.257 1.927
Tb 4.639 3.257 3.916
```

Calculated values
**Formation energy (no corrections)**: -2.043 eV/atom
**VASP energy**: -44.88 eV per formula unit
**Energy above the lowest structure with this stoichiometry**: 0 kJ/mol of formula units
**Crystal system**: orthorhombic
**Density of states at the Fermi level**: 0.27 states/eV per atom
**SG**: Imma, No. 74

---

First-principles (PBE-GGA) data for a geometry-optimized Tb3Sm2S8 structure, as listed in Alexandria via LeMat-Bulk.

The structure in extended XYZ format:
```
13
Lattice="-5.562 1.038 -3.693 4.343 -0.649 -6.725 -1.327 -6.435 4.561" Properties=species:S:1:pos:R:3 pbc="T T T"
S -4.966 -0.594 -3.150
S -2.739 -0.995 -6.469
S 2.420 -5.452 -2.707
S -1.083 -1.383 -2.792
S -1.463 -4.663 -3.065
S 0.193 -5.052 0.612
S -3.790 -4.315 0.539
S 1.244 -1.731 -6.396
Sm -1.464 -3.216 -0.635
Sm -1.083 -2.831 -5.222
Tb 3.202 -0.479 -4.958
Tb 1.141 -0.171 -1.767
Tb -2.781 0.519 -1.846
```

Calculated values
**Formation energy (no corrections)**: -1.883 eV/atom
**VASP energy**: -80.83 eV per formula unit
**Crystal system**: monoclinic
**Density of states at the Fermi level**: 0.55 states/eV per atom
**SG**: C2/m, No. 12

---

First-principles (PBE-GGA) data for a geometry-optimized Tb2SmS4 structure, as listed in Alexandria via LeMat-Bulk.

The structure in extended XYZ format:
```
14
Lattice="-5.869 3.416 -2.779 -0.891 -2.033 6.994 5.636 4.692 -0.255" Properties=species:S:1:pos:R:3 pbc="T T T"
Tb -5.489 2.912 -0.066
Tb -1.006 3.435 3.077
Tb 1.571 2.294 -0.171
Tb 2.675 3.508 5.079
S -3.564 3.542 1.816
S 1.621 2.700 2.653
S -1.435 0.946 4.204
S -4.613 1.085 4.818
S -0.710 5.849 1.759
S -1.022 1.886 0.680
S 4.097 3.330 0.662
S 1.129 4.961 -0.755
Sm -3.380 0.691 2.107
Sm -1.807 4.400 -0.463
```

Calculated values
**Formation energy (no corrections)**: -2.017 eV/atom
**VASP energy**: -44.61 eV per formula unit
**Energy above the lowest structure with this stoichiometry**: 32 kJ/mol of formula units
**Crystal system**: tetragonal
**Density of states at the Fermi level**: 0.37 states/eV per atom
**SG**: I-42d, No. 122

---

> Which of these has the highest VASP energy?

SmTaS2